No. 1
Cu3SiS4 | GGA-PBE | relaxed

Geometry as extended XYZ:
```
8
Lattice="0.4034 -4.7798 4.2073 -4.7239 -4.1595 -1.0459 4.3196 2.6028 -3.9087" Properties=species:S:1:pos:R:3 pbc="T T T"
S -4.0231 -5.3879 0.5892
S 1.5523 0.1899 -1.4927
S -0.5088 -4.3655 -0.0189
S -1.3417 -5.7123 3.3364
Si 0.0000 0.0000 0.0000
Cu -2.1602 -4.4697 1.5807
Cu 1.2814 -3.3234 0.9396
Cu -1.2823 -3.0132 -1.6870
```

Properties
SG: I-42m
volume: 141.4 Å³/f.u.
offset from the most stable computed form: 0 meV per atom
E_tot: -4.566 eV/atom

***

No. 2
Cu3SiS4 | GGA-PBE | relaxed

Geometry as extended XYZ:
```
8
Lattice="5.5526 0.0000 0.0000 0.0000 5.5526 0.0000 0.0000 0.0000 5.5526" Properties=species:S:1:pos:R:3 pbc="T T T"
Cu 2.7763 0.0000 0.0000
Cu 0.0000 2.7763 0.0000
Cu 0.0000 0.0000 2.7763
S 1.2474 1.2474 1.2474
S 4.3051 4.3051 1.2474
S 4.3051 1.2474 4.3051
S 1.2474 4.3051 4.3051
Si 0.0000 0.0000 0.0000
```

Properties
SG: P-43m
volume: 171.2 Å³/f.u.
offset from the most stable computed form: 127 meV per atom
E_tot: -4.440 eV/atom